[1]
The following is a DFT calculation (GGA-PBE) of Na2Pr3HoSe6 after structural relaxation. Values from VASP.

- E (eV for the cell shown) = -63.124
- formation energy from raw total energies (kJ per mole of atoms) = -166

Cell and atoms, written as Quantum ESPRESSO input:
```
&SYSTEM
  ibrav = 0, nat = 12, ntyp = 4
/
ATOMIC_SPECIES
Se 78.96 Se.upf
Na 22.99 Na.upf
Pr 140.91 Pr.upf
Ho 164.93 Ho.upf
CELL_PARAMETERS angstrom
-5.4312 -3.1438 -3.7482
2.4674 -3.1017 6.1418
-3.6232 5.6596 2.8696
ATOMIC_POSITIONS crystal
Se 0.0800 0.4050 0.2399
Se 0.2419 0.2419 0.7541
Se 0.5950 0.9200 0.7601
Se 0.7581 0.7581 0.2459
Se 0.9200 0.5950 0.7601
Se 0.4050 0.0800 0.2399
Na 0.6653 0.3347 0.0000
Na 0.3347 0.6653 0.0000
Pr 0.8293 0.1707 0.5000
Pr 0.1707 0.8293 0.5000
Pr 0.5000 0.5000 0.5000
Ho 0.0000 0.0000 0.0000
```

[2]
The following is a DFT calculation (GGA-PBE) of Na4PrHo3Se8 after structural relaxation. Values from VASP.

- E (eV for the cell shown) = -78.766
- formation energy from raw total energies (kJ per mole of atoms) = -163

Cell and atoms, written as Quantum ESPRESSO input:
```
&SYSTEM
  ibrav = 0, nat = 16, ntyp = 4
/
ATOMIC_SPECIES
Se 78.96 Se.upf
Na 22.99 Na.upf
Ho 164.93 Ho.upf
Pr 140.91 Pr.upf
CELL_PARAMETERS angstrom
-5.2402 6.4858 0.5139
-1.7690 -2.0685 8.0670
7.9456 1.2196 -2.2737
ATOMIC_POSITIONS crystal
Se 0.2488 0.7317 0.9832
Se 0.7344 0.7317 0.9832
Se 0.2575 0.2728 0.5150
Se 0.2656 0.2683 0.0168
Se 0.7512 0.2683 0.0168
Se 0.7512 0.2683 0.5025
Se 0.2488 0.7317 0.4975
Se 0.7425 0.7272 0.4850
Na 0.0000 0.0000 0.5000
Na 0.0000 0.0000 0.0000
Na 0.5000 0.0000 0.0000
Na 0.5000 0.0000 0.5000
Ho 0.0000 0.5000 0.5000
Ho 0.5000 0.5000 0.0000
Ho 0.5000 0.5000 0.5000
Pr 0.0000 0.5000 0.0000
```

[3]
The following is a DFT calculation (GGA-PBE) of Na3PrHo2Se6 after structural relaxation. Values from VASP.

- E (eV for the cell shown) = -59.109
- formation energy from raw total energies (kJ per mole of atoms) = -163

Cell and atoms, written as Quantum ESPRESSO input:
```
&SYSTEM
  ibrav = 0, nat = 12, ntyp = 4
/
ATOMIC_SPECIES
Ho 164.93 Ho.upf
Se 78.96 Se.upf
Pr 140.91 Pr.upf
Na 22.99 Na.upf
CELL_PARAMETERS angstrom
7.2613 -0.0016 -0.0010
-3.6303 6.2887 -0.0010
-1.2121 -2.0987 7.0136
ATOMIC_POSITIONS crystal
Ho 0.3330 0.6670 0.0000
Ho 0.6670 0.3330 0.0000
Se 0.4213 0.0773 0.2311
Se 0.9227 0.5787 0.7689
Se 0.7332 0.7332 0.2318
Se 0.2668 0.2668 0.7682
Se 0.5787 0.9227 0.7689
Se 0.0773 0.4213 0.2311
Pr 0.0000 0.0000 0.0000
Na 0.5000 0.5000 0.5000
Na 0.8349 0.1651 0.5000
Na 0.1651 0.8349 0.5000
```

[4]
The following is a DFT calculation (GGA-PBE) of Na3Pr2HoSe6 after structural relaxation. Values from VASP.

- E (eV for the cell shown) = -59.196
- formation energy from raw total energies (kJ per mole of atoms) = -162

Cell and atoms, written as Quantum ESPRESSO input:
```
&SYSTEM
  ibrav = 0, nat = 12, ntyp = 4
/
ATOMIC_SPECIES
Na 22.99 Na.upf
Ho 164.93 Ho.upf
Pr 140.91 Pr.upf
Se 78.96 Se.upf
CELL_PARAMETERS angstrom
-4.7860 -3.6063 4.2908
4.6370 -3.7617 -4.3208
4.7826 2.3436 5.1909
ATOMIC_POSITIONS crystal
Na 0.8324 0.1676 0.5000
Na 0.5000 0.5000 0.5000
Na 0.1676 0.8324 0.5000
Ho 0.0000 0.0000 0.0000
Pr 0.6665 0.3335 0.0000
Pr 0.3335 0.6665 0.0000
Se 0.2445 0.2445 0.7664
Se 0.9218 0.5990 0.7652
Se 0.4010 0.0782 0.2348
Se 0.0782 0.4010 0.2348
Se 0.7555 0.7555 0.2336
Se 0.5990 0.9218 0.7652
```

[5]
The following is a DFT calculation (GGA-PBE) of NaPr3Ho3Se8 after structural relaxation. Values from VASP.

- E (eV for the cell shown) = -84.110
- formation energy from raw total energies (kJ per mole of atoms) = -173

Cell and atoms, written as Quantum ESPRESSO input:
```
&SYSTEM
  ibrav = 0, nat = 15, ntyp = 4
/
ATOMIC_SPECIES
Se 78.96 Se.upf
Ho 164.93 Ho.upf
Pr 140.91 Pr.upf
Na 22.99 Na.upf
CELL_PARAMETERS angstrom
-7.9840 -0.1105 -2.1322
4.4119 -6.9871 -0.1412
-1.9954 3.4806 7.2914
ATOMIC_POSITIONS crystal
Se 0.2636 0.0111 0.2580
Se 0.7475 0.0111 0.2580
Se 0.2551 0.5103 0.2658
Se 0.2528 0.5055 0.7414
Se 0.7364 0.9889 0.7420
Se 0.7472 0.4945 0.2586
Se 0.2525 0.9889 0.7420
Se 0.7449 0.4897 0.7342
Ho 0.0000 0.5000 0.5000
Ho 0.5000 0.5000 0.5000
Ho 0.5000 0.0000 0.5000
Pr 0.0000 0.5000 0.0000
Pr 0.0000 0.0000 0.0000
Pr 0.5000 0.5000 0.0000
Na 0.0000 0.0000 0.5000
```

[6]
The following is a DFT calculation (GGA-PBE) of NaPrHo2Se4 after structural relaxation. Values from VASP.

- E (eV for the cell shown) = -43.129
- formation energy from raw total energies (kJ per mole of atoms) = -168

Cell and atoms, written as Quantum ESPRESSO input:
```
&SYSTEM
  ibrav = 0, nat = 8, ntyp = 4
/
ATOMIC_SPECIES
Se 78.96 Se.upf
Ho 164.93 Ho.upf
Na 22.99 Na.upf
Pr 140.91 Pr.upf
CELL_PARAMETERS angstrom
-0.2847 -3.9411 1.1118
2.6269 -2.0090 -6.4488
7.1681 -0.3954 0.4339
ATOMIC_POSITIONS crystal
Se 0.5000 0.2360 0.7524
Se 0.0000 0.7637 0.7403
Se 0.5000 0.7640 0.2476
Se 0.0000 0.2363 0.2597
Ho 0.5000 0.0000 0.5000
Ho 0.0000 0.0000 0.0000
Na 0.0000 0.5000 0.5000
Pr 0.5000 0.5000 0.0000
```

[7]
The following is a DFT calculation (GGA-PBE) of NaPr2HoSe4 after structural relaxation. Values from VASP.

- E (eV for the cell shown) = -43.344
- formation energy from raw total energies (kJ per mole of atoms) = -168

Cell and atoms, written as Quantum ESPRESSO input:
```
&SYSTEM
  ibrav = 0, nat = 8, ntyp = 4
/
ATOMIC_SPECIES
Ho 164.93 Ho.upf
Se 78.96 Se.upf
Pr 140.91 Pr.upf
Na 22.99 Na.upf
CELL_PARAMETERS angstrom
-4.1398 -0.5710 -0.0447
0.9118 -6.3418 -3.4312
0.0811 -1.1521 7.1978
ATOMIC_POSITIONS crystal
Ho 0.0000 0.0000 0.0000
Se 0.5000 0.7581 0.7659
Se 0.0000 0.7524 0.2402
Se 0.0000 0.2476 0.7598
Se 0.5000 0.2419 0.2341
Pr 0.0000 0.5000 0.5000
Pr 0.5000 0.0000 0.5000
Na 0.5000 0.5000 0.0000
```

[8]
The following is a DFT calculation (GGA-PBE) of NaPr2Ho3Te6 after structural relaxation. Values from VASP.

- E (eV for the cell shown) = -59.601
- formation energy from raw total energies (kJ per mole of atoms) = -130

Cell and atoms, written as Quantum ESPRESSO input:
```
&SYSTEM
  ibrav = 0, nat = 12, ntyp = 4
/
ATOMIC_SPECIES
Te 127.60 Te.upf
Ho 164.93 Ho.upf
Pr 140.91 Pr.upf
Na 22.99 Na.upf
CELL_PARAMETERS angstrom
4.3903 0.0000 0.0000
0.0000 8.9579 0.2533
-2.1951 -2.6512 9.3602
ATOMIC_POSITIONS crystal
Te 0.6608 0.5937 0.3216
Te 0.9982 0.2550 0.9964
Te 0.0018 0.7450 0.0036
Te 0.3316 0.9254 0.6633
Te 0.3392 0.4063 0.6784
Te 0.6684 0.0746 0.3367
Ho 0.5000 0.5000 0.0000
Ho 0.8329 0.1710 0.6658
Ho 0.1671 0.8290 0.3342
Pr 0.8281 0.6541 0.6563
Pr 0.1719 0.3459 0.3437
Na 0.5000 0.0000 0.0000
```

[9]
The following is a DFT calculation (GGA-PBE) of NaPr2HoTe4 after structural relaxation. Values from VASP.

- E (eV for the cell shown) = -38.847
- formation energy from raw total energies (kJ per mole of atoms) = -131

Cell and atoms, written as Quantum ESPRESSO input:
```
&SYSTEM
  ibrav = 0, nat = 8, ntyp = 4
/
ATOMIC_SPECIES
Pr 140.91 Pr.upf
Ho 164.93 Ho.upf
Te 127.60 Te.upf
Na 22.99 Na.upf
CELL_PARAMETERS angstrom
4.4455 0.0000 0.0000
0.0000 7.7547 0.1788
0.0000 -2.6965 7.3059
ATOMIC_POSITIONS crystal
Pr 0.5000 0.0000 0.5000
Pr 0.0000 0.5000 0.5000
Ho 0.5000 0.5000 0.0000
Te 0.5000 0.7492 0.7598
Te 0.0000 0.2568 0.7641
Te 0.5000 0.2508 0.2402
Te 0.0000 0.7432 0.2359
Na 0.0000 0.0000 0.0000
```

[10]
The following is a DFT calculation (GGA-PBE) of Na3Pr2HoTe6 after structural relaxation. Values from VASP.

- E (eV for the cell shown) = -52.789
- formation energy from raw total energies (kJ per mole of atoms) = -127

Cell and atoms, written as Quantum ESPRESSO input:
```
&SYSTEM
  ibrav = 0, nat = 12, ntyp = 4
/
ATOMIC_SPECIES
Pr 140.91 Pr.upf
Te 127.60 Te.upf
Na 22.99 Na.upf
Ho 164.93 Ho.upf
CELL_PARAMETERS angstrom
-3.2847 -6.8713 -1.8450
0.8787 2.0323 7.5170
-6.0208 4.9046 -1.9869
ATOMIC_POSITIONS crystal
Pr 0.6662 0.3338 0.0000
Pr 0.3338 0.6662 0.0000
Te 0.0790 0.4025 0.2374
Te 0.9210 0.5975 0.7626
Te 0.5975 0.9210 0.7626
Te 0.7563 0.7563 0.2373
Te 0.4025 0.0790 0.2374
Te 0.2437 0.2437 0.7627
Na 0.8305 0.1695 0.5000
Na 0.5000 0.5000 0.5000
Na 0.1695 0.8305 0.5000
Ho 0.0000 0.0000 0.0000
```

[11]
The following is a DFT calculation (GGA-PBE) of Na3PrHo2Te6 after structural relaxation. Values from VASP.

- E (eV for the cell shown) = -52.509
- formation energy from raw total energies (kJ per mole of atoms) = -127

Cell and atoms, written as Quantum ESPRESSO input:
```
&SYSTEM
  ibrav = 0, nat = 12, ntyp = 4
/
ATOMIC_SPECIES
Te 127.60 Te.upf
Ho 164.93 Ho.upf
Na 22.99 Na.upf
Pr 140.91 Pr.upf
CELL_PARAMETERS angstrom
-3.6709 -5.4639 -4.0737
5.8407 -1.9397 4.6957
-5.6195 1.5172 5.4854
ATOMIC_POSITIONS crystal
Te 0.0784 0.4218 0.2342
Te 0.5782 0.9216 0.7658
Te 0.4218 0.0784 0.2342
Te 0.2656 0.2656 0.7661
Te 0.7343 0.7343 0.2339
Te 0.9216 0.5782 0.7658
Ho 0.6672 0.3328 0.0000
Ho 0.3328 0.6672 0.0000
Na 0.8366 0.1634 0.5000
Na 0.5000 0.5000 0.5000
Na 0.1634 0.8366 0.5000
Pr 0.0000 0.0000 0.0000
```

[12]
The following is a DFT calculation (GGA-PBE) of Na2Pr3HoTe6 after structural relaxation. Values from VASP.

- E (eV for the cell shown) = -56.595
- formation energy from raw total energies (kJ per mole of atoms) = -130

Cell and atoms, written as Quantum ESPRESSO input:
```
&SYSTEM
  ibrav = 0, nat = 12, ntyp = 4
/
ATOMIC_SPECIES
Te 127.60 Te.upf
Pr 140.91 Pr.upf
Ho 164.93 Ho.upf
Na 22.99 Na.upf
CELL_PARAMETERS angstrom
-6.8761 0.9852 -3.5076
0.3834 -3.7218 6.8232
1.2612 7.3217 2.4497
ATOMIC_POSITIONS crystal
Te 0.2433 0.2433 0.7540
Te 0.5934 0.9202 0.7601
Te 0.9202 0.5934 0.7601
Te 0.7567 0.7567 0.2460
Te 0.4066 0.0798 0.2399
Te 0.0798 0.4066 0.2399
Pr 0.5000 0.5000 0.5000
Pr 0.1708 0.8292 0.5000
Pr 0.8292 0.1708 0.5000
Ho 0.0000 0.0000 0.0000
Na 0.6651 0.3349 0.0000
Na 0.3349 0.6651 0.0000
```

Repeat the second record exactly.
The following is a DFT calculation (GGA-PBE) of Na4PrHo3Se8 after structural relaxation. Values from VASP.

- E (eV for the cell shown) = -78.766
- formation energy from raw total energies (kJ per mole of atoms) = -163

Cell and atoms, written as Quantum ESPRESSO input:
```
&SYSTEM
  ibrav = 0, nat = 16, ntyp = 4
/
ATOMIC_SPECIES
Se 78.96 Se.upf
Na 22.99 Na.upf
Ho 164.93 Ho.upf
Pr 140.91 Pr.upf
CELL_PARAMETERS angstrom
-5.2402 6.4858 0.5139
-1.7690 -2.0685 8.0670
7.9456 1.2196 -2.2737
ATOMIC_POSITIONS crystal
Se 0.2488 0.7317 0.9832
Se 0.7344 0.7317 0.9832
Se 0.2575 0.2728 0.5150
Se 0.2656 0.2683 0.0168
Se 0.7512 0.2683 0.0168
Se 0.7512 0.2683 0.5025
Se 0.2488 0.7317 0.4975
Se 0.7425 0.7272 0.4850
Na 0.0000 0.0000 0.5000
Na 0.0000 0.0000 0.0000
Na 0.5000 0.0000 0.0000
Na 0.5000 0.0000 0.5000
Ho 0.0000 0.5000 0.5000
Ho 0.5000 0.5000 0.0000
Ho 0.5000 0.5000 0.5000
Pr 0.0000 0.5000 0.0000
```